# 1
Here is InRu2Br after structural relaxation from the Alexandria database. Energies are from PBE-GGA.

```
data_InRu2Br
_chemical_formula_sum 'In1 Ru2 Br1'
_cell_length_a 4.5899
_cell_length_b 4.5899
_cell_length_c 3.1970
_cell_angle_alpha 90.00
_cell_angle_beta 90.00
_cell_angle_gamma 90.00
_space_group_name_H-M_alt 'P 4/m m m'
_space_group_IT_number 123
_space_group_name_Hall '-P 4 2'
loop_
_atom_site_label
_atom_site_type_symbol
_atom_site_fract_x
_atom_site_fract_y
_atom_site_fract_z
In1 In 0.0000 0.0000 0.0000
Ru1 Ru 0.0000 0.5000 0.5000
Br1 Br 0.5000 0.5000 0.0000
```

**Magnetization**: 0.0 μB per formula unit
**Energy relative to the elements, uncorrected**: 0.667 eV per atom
**Calculated total energy**: -5.07 eV per atom


# 2
Here is Na2SrAlS4 after structural relaxation from the Alexandria database. Energies are from PBE-GGA.

```
data_Na2SrAlS4
_chemical_formula_sum 'Na4 Sr2 Al2 S8'
_cell_length_a 7.2003
_cell_length_b 7.2003
_cell_length_c 7.4687
_cell_angle_alpha 90.00
_cell_angle_beta 90.00
_cell_angle_gamma 90.00
_space_group_name_H-M_alt 'I -4 2 m'
_space_group_IT_number 121
_space_group_name_Hall 'I -4 2'
loop_
_atom_site_label
_atom_site_type_symbol
_atom_site_fract_x
_atom_site_fract_y
_atom_site_fract_z
Na1 Na 0.0000 0.5000 0.2500
Sr1 Sr 0.0000 0.0000 0.0000
Al1 Al 0.0000 0.0000 0.5000
S1 S 0.1865 0.1865 0.3354
```

**Magnetization**: 0.8 μB per formula unit
**Energy relative to the elements, uncorrected**: -1.174 eV per atom
**Calculated total energy**: -4.25 eV per atom


# 3
Here is Rb2AcTiS4 after structural relaxation from the Alexandria database. Energies are from PBE-GGA.

```
data_Rb2AcTiS4
_chemical_formula_sum 'Rb4 Ac2 Ti2 S8'
_cell_length_a 7.6092
_cell_length_b 7.6092
_cell_length_c 9.2971
_cell_angle_alpha 90.00
_cell_angle_beta 90.00
_cell_angle_gamma 90.00
_space_group_name_H-M_alt 'I -4'
_space_group_IT_number 82
loop_
_space_group_symop_operation_xyz
'x,y,z'
'y,-x,-z'
'-x,-y,z'
'-y,x,-z'
'x+1/2,y+1/2,z+1/2'
'y+1/2,-x+1/2,-z+1/2'
'-x+1/2,-y+1/2,z+1/2'
'-y+1/2,x+1/2,-z+1/2'
loop_
_atom_site_label
_atom_site_type_symbol
_atom_site_fract_x
_atom_site_fract_y
_atom_site_fract_z
Rb1 Rb 0.0000 0.0000 0.0000
Rb2 Rb 0.0000 0.5000 0.2500
Ac1 Ac 0.0000 0.0000 0.5000
Ti1 Ti 0.0000 0.5000 0.7500
S1 S 0.1780 0.7261 0.6509
```

**Magnetization**: 1.0 μB per formula unit
**Energy relative to the elements, uncorrected**: -1.400 eV per atom
**Calculated total energy**: -5.21 eV per atom


# 4
Here is ErNbCd2O6 after structural relaxation from the Alexandria database. Energies are from PBE-GGA.

```
data_ErNbCd2O6
_chemical_formula_sum 'Er2 Nb2 Cd4 O12'
_cell_length_a 5.6098
_cell_length_b 5.7526
_cell_length_c 9.8791
_cell_angle_alpha 90.00
_cell_angle_beta 124.17
_cell_angle_gamma 90.00
_space_group_name_H-M_alt 'P 1 21/c 1'
_space_group_IT_number 14
loop_
_space_group_symop_operation_xyz
'x,y,z'
'-x,-y,-z'
'-x,y+1/2,-z+1/2'
'x,-y+1/2,z+1/2'
loop_
_atom_site_label
_atom_site_type_symbol
_atom_site_fract_x
_atom_site_fract_y
_atom_site_fract_z
Er1 Er 0.0000 0.0000 0.0000
Nb1 Nb 0.5000 0.0000 0.5000
Cd1 Cd 0.2545 0.0428 0.7493
O1 O 0.1537 0.0583 0.2636
O2 O 0.2543 0.6752 0.0545
O3 O 0.3961 0.2022 0.0649
```

**Magnetization**: 0.0 μB per formula unit
**Energy relative to the elements, uncorrected**: -2.216 eV per atom
**Calculated total energy**: -6.84 eV per atom


# 5
Here is Ca2SnHgCl8 after structural relaxation from the Alexandria database. Energies are from PBE-GGA.

```
data_Ca2SnHgCl8
_chemical_formula_sum 'Ca2 Sn1 Hg1 Cl8'
_cell_length_a 6.3468
_cell_length_b 8.4424
_cell_length_c 6.5804
_cell_angle_alpha 90.00
_cell_angle_beta 90.12
_cell_angle_gamma 90.00
_space_group_name_H-M_alt 'P 1 2/m 1'
_space_group_IT_number 10
loop_
_space_group_symop_operation_xyz
'x,y,z'
'-x,-y,-z'
'-x,y,-z'
'x,-y,z'
loop_
_atom_site_label
_atom_site_type_symbol
_atom_site_fract_x
_atom_site_fract_y
_atom_site_fract_z
Ca1 Ca 0.0000 0.2444 0.0000
Sn1 Sn 0.5000 0.5000 0.5000
Hg1 Hg 0.5000 0.0000 0.5000
Cl1 Cl 0.2161 0.5000 0.8378
Cl2 Cl 0.2251 0.0000 0.8309
Cl3 Cl 0.2748 0.2377 0.3315
```

**Magnetization**: 0.0 μB per formula unit
**Energy relative to the elements, uncorrected**: -1.568 eV per atom
**Calculated total energy**: -3.49 eV per atom


# 6
Here is Na3Th3CdTe8 after structural relaxation from the Alexandria database. Energies are from PBE-GGA.

```
data_Na3Th3CdTe8
_chemical_formula_sum 'Na9 Th9 Cd3 Te24'
_cell_length_a 8.9454
_cell_length_b 8.9454
_cell_length_c 22.8473
_cell_angle_alpha 90.00
_cell_angle_beta 90.00
_cell_angle_gamma 120.00
_space_group_name_H-M_alt 'R -3 m'
_space_group_IT_number 166
_space_group_name_Hall '-R 3 2"'
loop_
_atom_site_label
_atom_site_type_symbol
_atom_site_fract_x
_atom_site_fract_y
_atom_site_fract_z
Na1 Na 0.0000 0.5000 0.0000
Th1 Th 0.0000 0.5000 0.5000
Cd1 Cd 0.0000 0.0000 0.5000
Te1 Te 0.0000 0.0000 0.2484
Te2 Te 0.0003 0.5001 0.2444
```

**Magnetization**: 0.0 μB per formula unit
**Energy relative to the elements, uncorrected**: -0.995 eV per atom
**Calculated total energy**: -4.48 eV per atom


# 7
Here is SmDySe2 after structural relaxation from the Alexandria database. Energies are from PBE-GGA.

```
data_SmDySe2
_chemical_formula_sum 'Sm3 Dy3 Se6'
_cell_length_a 4.0077
_cell_length_b 4.0077
_cell_length_c 21.6461
_cell_angle_alpha 90.00
_cell_angle_beta 90.00
_cell_angle_gamma 120.00
_space_group_name_H-M_alt 'R 3 m'
_space_group_IT_number 160
_space_group_name_Hall 'R 3 -2"'
loop_
_atom_site_label
_atom_site_type_symbol
_atom_site_fract_x
_atom_site_fract_y
_atom_site_fract_z
Sm1 Sm 0.0000 0.0000 0.0000
Dy1 Dy 0.0000 0.0000 0.8229
Se1 Se 0.0000 0.0000 0.4127
Se2 Se 0.0000 0.0000 0.5769
```

**Magnetization**: 0.0 μB per formula unit
**Energy relative to the elements, uncorrected**: -1.761 eV per atom
**Calculated total energy**: -5.83 eV per atom


# 8
Here is Tl2P2Au after structural relaxation from the Alexandria database. Energies are from PBE-GGA.

```
data_Tl2P2Au
_chemical_formula_sum 'Tl4 P4 Au2'
_cell_length_a 3.3678
_cell_length_b 3.3678
_cell_length_c 20.3701
_cell_angle_alpha 90.00
_cell_angle_beta 90.00
_cell_angle_gamma 90.00
_space_group_name_H-M_alt 'I 4/m m m'
_space_group_IT_number 139
_space_group_name_Hall '-I 4 2'
loop_
_atom_site_label
_atom_site_type_symbol
_atom_site_fract_x
_atom_site_fract_y
_atom_site_fract_z
Tl1 Tl 0.0000 0.0000 0.1026
P1 P 0.0000 0.5000 0.2500
Au1 Au 0.0000 0.0000 0.5000
```

**Magnetization**: 0.0 μB per formula unit
**Calculated total energy**: -3.61 eV per atom